Entry from Alexandria via LeMat-Bulk: an optimized crystal structure of ReRuCl (GGA-PBE).

Geometry as POSCAR:
```
ReRuCl
1.0
-2.371 -5.224 1.825
-0.196 -3.530 4.873
-0.397 5.366 -2.700
Re Ru Cl
1 1 1
Direct
0.322 0.322 0.000
0.688 0.688 0.000
0.989 0.989 0.000
```

Values from the calculation:
The distance to the lowest polymorph of the same formula comes out at 0.261 eV/f.u. The value obtained for the formation energy (no corrections) is 0.44 eV per atom. The space-group type is I4mm. Its crystal system is tetragonal.